Here is crystalline Ac2DyTiS6 at its relaxed geometry from Alexandria. Energies are from PBE-GGA.

Calculated values
The electronic total energy comes out at -6.432 eV per atom. As for the spin magnetization: 1.00 μB per formula unit. The calculation puts the density of states at the Fermi level at 4.55 states/eV/f.u. The formation energy from raw total energies comes out at -1.88 eV per atom.

```
Ac2DyTiS6
1.0
5.998 -3.481 0.000
5.998 3.481 0.000
-4.002 0.000 5.893
Ac Dy Ti S
2 1 1 6
direct
0.244 0.244 0.220 Ac
0.756 0.756 0.780 Ac
0.000 0.000 0.500 Dy
0.500 0.500 0.000 Ti
0.196 0.683 0.178 S
0.263 0.263 0.655 S
0.317 0.804 0.822 S
0.683 0.196 0.178 S
0.737 0.737 0.345 S
0.804 0.317 0.822 S
```

***

Here is crystalline U2CSe at its relaxed geometry from Alexandria. Energies are from PBE-GGA.

Calculated values
The electronic total energy comes out at -9.398 eV per atom. As for the spin magnetization: 3.95 μB per formula unit. The calculation puts the density of states at the Fermi level at 7.82 states/eV/f.u. The formation energy from raw total energies comes out at -0.58 eV per atom.

```
U2CSe
1.0
1.844 1.064 6.575
-1.844 1.064 6.575
0.000 -2.129 6.575
U C Se
2 1 1
direct
0.232 0.232 0.232 U
0.768 0.768 0.768 U
0.500 0.500 0.500 C
0.000 0.000 0.000 Se
```

***

Here is crystalline Ho2CdIr at its relaxed geometry from Alexandria. Energies are from PBE-GGA.

Calculated values
As for the formation energy: -0.569 eV/atom. The electronic total energy comes out at -5.302 eV per atom. As for the offset from the most stable computed form: 69 meV per atom. As for the spin magnetization: 0.00 μB per formula unit. The calculation puts the density of states at the Fermi level at 2.63 states/eV/f.u.

```
Ho2CdIr
1.0
0.000 3.544 3.544
3.544 0.000 3.544
3.544 3.544 0.000
Ho Cd Ir
2 1 1
direct
0.250 0.250 0.250 Ho
0.750 0.750 0.750 Ho
0.000 0.000 0.000 Cd
0.500 0.500 0.500 Ir
```

***

Here is crystalline GaSN2O at its relaxed geometry from Alexandria. Energies are from PBE-GGA.

Calculated values
The electronic total energy comes out at -3.820 eV per atom. As for the spin magnetization: 0.61 μB per formula unit. The calculation puts the density of states at the Fermi level at 2.09 states/eV/f.u. The formation energy from raw total energies comes out at 1.93 eV per atom.

```
GaSN2O
1.0
3.816 0.000 0.000
0.000 3.816 0.000
0.000 0.000 3.782
Ga S N O
1 1 2 1
direct
0.000 0.000 0.000 Ga
0.500 0.500 0.000 S
0.000 0.500 0.500 N
0.500 0.000 0.500 N
0.500 0.500 0.500 O
```